a | Entry from Alexandria: an optimized crystal structure of Co2AgW (GGA-PBEsol).

abc: 2.6852 4.4335 4.4335
angles: 103.55 90.00 90.00
Closest atoms and distances in Å follow each position.
Fractional coordinates of all 4 atoms:
W: 0.5000 0.0000 0.0000  8 Co 2.59, 2 W 2.69, 2 Ag 2.74
Co: 0.0000 0.5000 0.0000  4 W 2.59, 4 Ag 2.59, 4 Co 2.69-2.74
Co: 0.0000 0.0000 0.5000  4 Ag 2.59, 4 W 2.59, 4 Co 2.69-2.74
Ag: 0.5000 0.5000 0.5000  8 Co 2.59, 2 Ag 2.69, 2 W 2.74

b | Entry from Alexandria: an optimized crystal structure of Co2AgW (GGA-PBEsol).

abc: 2.7103 4.2923 4.6308
angles: 90.00 90.00 90.00
Closest atoms and distances in Å follow each position.
Fractional coordinates of all 4 atoms:
Co: 0.0000 0.0000 0.0000  4 W 2.54, 6 Co 2.68-2.71
Co: 0.5000 0.0000 0.5000  4 Ag 2.54, 6 Co 2.68-2.71
Ag: 0.0000 0.5000 0.5000  4 Co 2.54, 4 W 2.68, 2 Ag 2.71
W: 0.5000 0.5000 0.0000  4 Co 2.54, 4 Ag 2.68, 2 W 2.71

c | Entry from Alexandria: an optimized crystal structure of Co2AgW (GGA-PBEsol).

abc: 3.2340 3.9736 3.9736
angles: 90.00 90.00 90.00
Closest atoms and distances in Å follow each position.
Fractional coordinates of all 4 atoms:
Co: 0.0000 0.5000 0.0000  4 W 2.56, 4 Ag 2.56, 4 Co 2.81
Co: 0.0000 0.0000 0.5000  4 W 2.56, 4 Ag 2.56, 4 Co 2.81
Ag: 0.5000 0.0000 0.0000  8 Co 2.56, 4 W 2.81
W: 0.5000 0.5000 0.5000  8 Co 2.56, 4 Ag 2.81

It is b that is the least stable of them.

a | Entry from Alexandria: an optimized crystal structure of Zr2CoAg (GGA-PBEsol).

abc: 3.2533 4.6334 4.6334
angles: 90.26 90.00 90.00
Closest atoms and distances in Å follow each position.
Fractional coordinates of all 4 atoms:
Co: 0.5000 0.5000 0.5000  8 Zr 2.83
Zr: 0.0000 0.0000 0.5000  4 Co 2.83, 4 Ag 2.83
Ag: 0.5000 0.0000 0.0000  8 Zr 2.83
Zr: 0.0000 0.5000 0.0000  4 Ag 2.83, 4 Co 2.83

b | Entry from Alexandria: an optimized crystal structure of Zr2CoAg (GGA-PBEsol).

abc: 3.0141 3.0141 7.5874
angles: 90.00 90.00 90.00
Closest atoms and distances in Å follow each position.
Fractional coordinates of all 4 atoms:
Ag: 0.5000 0.5000 0.0000  4 Ag 3.01, 8 Zr 3.02
Zr: 0.0000 0.0000 0.7179  4 Co 2.70, 4 Zr 3.01, 4 Ag 3.02
Co: 0.5000 0.5000 0.5000  8 Zr 2.70, 4 Co 3.01
Zr: 0.0000 0.0000 0.2821  4 Co 2.70, 4 Zr 3.01, 4 Ag 3.02

c | Entry from Alexandria: an optimized crystal structure of Zr2CoAg (GGA-PBEsol).

abc: 4.5278 4.5278 4.5278
angles: 60.00 60.00 60.00
Closest atoms and distances in Å follow each position.
Fractional coordinates of all 4 atoms:
Ag: 0.5000 0.5000 0.5000  4 Zr 2.77, 4 Co 2.77
Co: 0.2500 0.2500 0.2500  4 Zr 2.77, 4 Ag 2.77
Zr: 0.7500 0.7500 0.7500  4 Ag 2.77, 4 Zr 2.77
Zr: 0.0000 0.0000 0.0000  4 Zr 2.77, 4 Co 2.77

It is c that is the least stable of them.

a | Entry from Alexandria: an optimized crystal structure of ZrCo2Ag (GGA-PBEsol).

abc: 2.7595 2.7595 9.0639
angles: 81.24 81.24 60.00
Closest atoms and distances in Å follow each position.
Fractional coordinates of all 4 atoms:
Co: 0.2604 0.2604 0.2188  3 Co 2.36
Co: 0.9921 0.9921 0.0236  3 Co 2.36
Zr: 0.5059 0.5059 0.4823  6 Zr 2.76, 3 Co 2.84, 3 Ag 3.06
Ag: 0.7416 0.7416 0.7753  3 Co 2.73, 6 Ag 2.76

b | Entry from Alexandria: an optimized crystal structure of ZrCo2Ag (GGA-PBEsol).

abc: 4.2918 4.2963 4.2918
angles: 60.04 90.00 119.96
Closest atoms and distances in Å follow each position.
Fractional coordinates of all 4 atoms:
Ag: 0.5000 0.0000 0.5000  8 Co 2.63
Co: 0.7500 0.5000 0.7500  4 Zr 2.63, 4 Ag 2.63
Co: 0.2500 0.5000 0.2500  4 Zr 2.63, 4 Ag 2.63
Zr: 0.0000 0.0000 0.0000  8 Co 2.63

It is a that is the least stable of them.

a | Entry from Alexandria: an optimized crystal structure of CrCuAg2 (GGA-PBEsol).

abc: 2.9088 3.6471 5.6566
angles: 90.00 90.00 90.00
Closest atoms and distances in Å follow each position.
Fractional coordinates of all 4 atoms:
Cr: 0.5000 0.5000 0.0000  8 Ag 2.75, 2 Cu 2.83, 2 Cr 2.91
Cu: 0.5000 0.5000 0.5000  8 Ag 2.70, 2 Cr 2.83, 2 Cu 2.91
Ag: 0.0000 0.0000 0.7420  4 Cu 2.70, 4 Ag 2.74-2.92, 4 Cr 2.75
Ag: 0.0000 0.0000 0.2580  4 Cu 2.70, 4 Ag 2.74-2.92, 4 Cr 2.75

b | Entry from Alexandria: an optimized crystal structure of CrCuAg2 (GGA-PBEsol).

abc: 3.0855 3.0855 6.2526
angles: 90.00 90.00 90.00
Closest atoms and distances in Å follow each position.
Fractional coordinates of all 4 atoms:
Cr: 0.0000 0.0000 0.5239  4 Cu 2.56, 5 Ag 2.73-2.84
Ag: 0.5000 0.5000 0.2607  4 Cr 2.73, 4 Ag 2.81, 1 Cu 2.98
Cu: 0.5000 0.5000 0.7371  4 Cr 2.56, 4 Ag 2.65
Ag: 0.0000 0.0000 0.9784  4 Cu 2.65, 4 Ag 2.81, 1 Cr 2.84

It is a that is the least stable of them.